## Fe2TcAs (PBE)

Data for crystalline Fe2TcAs at its relaxed geometry.

Cell: 6.3772 6.3772 6.3772 Å, 131.55 131.55 70.94°
With the nearest neighbours (Å) after each atom.
Fractional positions:
Fe: 0.1232 0.6250 0.9982  2 Tc 2.25, 2 As 2.27
Fe: 0.3750 0.3732 0.4982  2 Tc 2.25, 2 As 2.27
Fe: 0.6268 0.1250 0.0018  2 Tc 2.25, 2 As 2.27
Fe: 0.8750 0.8768 0.5018  2 Tc 2.25, 2 As 2.27
Tc: 0.0000 0.0000 0.0000  4 Fe 2.25
Tc: 0.7500 0.2500 0.5000  4 Fe 2.25
As: 0.2500 0.7500 0.5000  4 Fe 2.27
As: 0.5000 0.5000 0.0000  4 Fe 2.27

Results
For the total energy, the calculation gives -7.1943 eV/atom. The calculation puts the energy above the most stable polymorph in this dataset at 72.5 kJ/mol of atoms. The value obtained for the calculated formation energy is 0.79 eV/atom.